The following is a DFT calculation (GGA-PBE) of a relaxed structure of TiAl2MoAu.

Output
Energy of formation (eV per atom): 0.60
Uncorrected energy (eV/atom): -5.30

Unit cell a=4.8492 b=4.8492 c=4.5569 alpha=90.00 beta=90.00 gamma=90.00
Fractional positions:
Ti1 0.0000 0.0000 0.0000
Al1 0.0000 0.5000 0.5000
Al2 0.5000 0.0000 0.5000
Mo1 0.0000 0.0000 0.5000
Au1 0.5000 0.5000 0.0000